Material: CaAl2Ag2
Method: DFT, GGA-PBE
State: relaxed

The theoretical density comes out at 5.26 g cm⁻³. The calculation puts the energy relative to the elements at -0.49 eV/f.u.

The structure belongs to space group P4/mbm (No. 127); the cell edges are 8.1377, 8.1377 and 2.9509 Å and the angles 90.00°, 90.00° and 90.00°. Symmetry generates all atoms from Ca at (0.0000, 0.0000, 0.0000), Al at (0.1592, 0.3408, 0.5000) and Ag at (0.1346, 0.6346, 0.0000).